1.
A relaxed structure of BaAuBr3. Source: Alexandria, functional PBE.

abc: 6.2760 6.2760 6.2760
angles: 90.00 90.00 90.00
Sites, in units of the cell vectors:
Br 0.0000 0.5000 0.0000
Br 0.5000 0.0000 0.0000
Br 0.0000 0.0000 0.5000
Au 0.5000 0.5000 0.5000
Ba 0.0000 0.0000 0.0000

offset from the most stable computed form: 713.7 meV per atom

***

2.
A relaxed structure of MnTeIN2. Source: Alexandria, functional PBE.

abc: 4.0501 4.0501 7.3192
angles: 90.00 90.00 90.00
Sites, in units of the cell vectors:
I 0.0000 0.0000 0.5000
Mn 0.5000 0.5000 0.5000
N 0.5000 0.0000 0.0000
N 0.0000 0.5000 0.0000
Te 0.0000 0.0000 0.0000

offset from the most stable computed form: 329.8 meV per atom

***

3.
A relaxed structure of Tb3CdHg4. Source: Alexandria, functional PBE.

abc: 5.1621 5.1621 9.1854
angles: 73.68 73.68 60.00
Sites, in units of the cell vectors:
Hg 0.6223 0.6223 0.1332
Hg 0.3777 0.3777 0.8668
Hg 0.1310 0.1310 0.6070
Hg 0.8690 0.8690 0.3930
Tb 0.7423 0.7423 0.7730
Tb 0.2577 0.2577 0.2270
Tb 0.5000 0.5000 0.5000
Cd 0.0000 0.0000 0.0000

formation enthalpy at 0 K: -0.4369 eV/atom